{"formula": "Dy2ErPb", "functional": "PBE", "state": "optimized geometry", "cell": [[-0.6414, 1.2050, -3.3456], [-3.3804, -1.2618, 0.1936], [-2.8228, 8.0924, 3.4557]], "species": ["Pb", "Dy", "Dy", "Er"], "fractional_positions": [[0.5000, 0.5000, 0.0000], [0.0000, 0.0000, 0.7630], [0.0000, 0.0000, 0.2370], [0.5000, 0.5000, 0.5000]], "de_polymorph_ev_per_atom": 0.064, "dft_energy_ry_per_atom": -0.336, "dos_ef_per_ev_fu": 3.7, "formation_enthalpy_0k_ev_per_atom": -0.2074, "sg": "P4/mmm (123)"}

{"formula": "Dy2Er5Pb4", "functional": "PBE", "state": "optimized geometry", "cell": [[3.5546, 0.0000, 0.0000], [0.0000, 8.2640, -1.0851], [-1.7773, -5.3043, 11.9581]], "species": ["Dy", "Dy", "Er", "Er", "Er", "Er", "Er", "Pb", "Pb", "Pb", "Pb"], "fractional_positions": [[0.5762, 0.4950, 0.1524], [0.4238, 0.5050, 0.8476], [0.1836, 0.9113, 0.3673], [0.8164, 0.0887, 0.6327], [0.1447, 0.2776, 0.2895], [0.5000, 0.0000, 0.0000], [0.8553, 0.7224, 0.7105], [0.7211, 0.6592, 0.4422], [0.0509, 0.7893, 0.1017], [0.2789, 0.3408, 0.5578], [0.9491, 0.2107, 0.8983]], "dft_energy_ry_per_atom": -0.331, "dos_ef_per_ev_fu": 9.1, "formation_enthalpy_0k_ev_per_atom": -0.2493, "sg": "C2/m (12)"}

{"formula": "DyEr3Pb2", "functional": "PBE", "state": "optimized geometry", "cell": [[-1.8348, -4.1299, 0.4151], [2.4916, -0.7329, 3.7215], [-6.2079, 3.2398, 4.7944]], "species": ["Dy", "Er", "Er", "Er", "Pb", "Pb"], "fractional_positions": [[0.5000, 0.5000, 0.0000], [0.5000, 0.0000, 0.3399], [0.0000, 0.5000, 0.6601], [0.0000, 0.0000, 0.0000], [0.5000, 0.0000, 0.7134], [0.0000, 0.5000, 0.2866]], "de_polymorph_ev_per_atom": 0.000, "dft_energy_ry_per_atom": -0.344, "dos_ef_per_ev_fu": 3.5, "formation_enthalpy_0k_ev_per_atom": -0.3970, "sg": "P-4m2 (115)"}